BaMnAu: relaxed, PBE.

a b c (Å): 7.591 7.591 7.591
angles (deg): 90.00 90.00 90.00
Sites, in units of the cell vectors:
Ba 0.000 0.000 0.000
Ba 0.000 0.500 0.500
Ba 0.500 0.000 0.500
Ba 0.500 0.500 0.000
Mn 0.250 0.250 0.250
Mn 0.250 0.750 0.750
Mn 0.750 0.250 0.750
Mn 0.750 0.750 0.250
Au 0.250 0.250 0.750
Au 0.250 0.750 0.250
Au 0.750 0.250 0.250
Au 0.750 0.750 0.750

formation energy: 59.0 kJ per mole of atoms
V: 36.5 Å³/atom
space group: F-43m, No. 216
calculated total energy: -4.178 eV/atom

LuTiPb: relaxed, PBE.

a b c (Å): 3.598 3.598 10.871
angles (deg): 90.00 90.00 90.00
Sites, in units of the cell vectors:
Lu 0.000 0.000 0.000
Lu 0.500 0.500 0.500
Ti 0.000 0.000 0.335
Ti 0.500 0.500 0.835
Pb 0.000 0.000 0.688
Pb 0.500 0.500 0.188

formation energy: -5.7 kJ per mole of atoms
V: 23.5 Å³/atom
space group: I4mm, No. 107
calculated total energy: -5.434 eV/atom

Ho3NpFe8: relaxed, PBE.

a b c (Å): 8.980 8.980 8.980
angles (deg): 32.48 32.48 32.48
Sites, in units of the cell vectors:
Ho 0.000 0.000 0.000
Ho 0.124 0.124 0.124
Ho 0.623 0.623 0.623
Np 0.503 0.503 0.503
Fe 0.060 0.060 0.563
Fe 0.060 0.560 0.560
Fe 0.060 0.563 0.060
Fe 0.313 0.313 0.313
Fe 0.560 0.060 0.560
Fe 0.560 0.560 0.060
Fe 0.563 0.060 0.060
Fe 0.811 0.811 0.811

formation energy: 0.2 kJ per mole of atoms
V: 15.5 Å³/atom
space group: R3m, No. 160
calculated total energy: -7.862 eV/atom

Ca2La12Dy5: relaxed, PBE.

a b c (Å): 8.990 8.990 9.712
angles (deg): 110.76 110.76 82.70
Sites, in units of the cell vectors:
Ca 0.219 0.781 0.000
Ca 0.781 0.219 0.000
La 0.023 0.555 0.183
La 0.056 0.056 0.772
La 0.143 0.649 0.585
La 0.351 0.857 0.415
La 0.394 0.394 0.074
La 0.445 0.977 0.817
La 0.555 0.023 0.183
La 0.606 0.606 0.926
La 0.649 0.143 0.585
La 0.857 0.351 0.415
La 0.944 0.944 0.228
La 0.977 0.445 0.817
Dy 0.208 0.208 0.246
Dy 0.276 0.276 0.636
Dy 0.500 0.500 0.500
Dy 0.724 0.724 0.364
Dy 0.792 0.792 0.754

formation energy: 11.8 kJ per mole of atoms
V: 36.1 Å³/atom
space group: C2/m, No. 12
calculated total energy: -4.412 eV/atom

Tb2Nd6Y3: relaxed, PBE.

a b c (Å): 32.498 32.498 32.498
angles (deg): 6.41 6.41 6.41
Sites, in units of the cell vectors:
Tb 0.046 0.046 0.046
Tb 0.954 0.954 0.954
Nd 0.136 0.136 0.136
Nd 0.318 0.318 0.318
Nd 0.409 0.409 0.409
Nd 0.591 0.591 0.591
Nd 0.682 0.682 0.682
Nd 0.864 0.864 0.864
Y 0.227 0.227 0.227
Y 0.500 0.500 0.500
Y 0.773 0.773 0.773

formation energy: 1.0 kJ per mole of atoms
V: 33.7 Å³/atom
space group: R-3m, No. 166
calculated total energy: -5.195 eV/atom

Pm4Pb3O4: relaxed, PBE.

a b c (Å): 8.592 7.853 7.853
angles (deg): 29.16 90.00 90.00
Sites, in units of the cell vectors:
Pm 0.000 0.000 0.000
Pm 0.238 0.655 0.655
Pm 0.500 0.020 0.020
Pm 0.762 0.655 0.655
Pb 0.000 0.292 0.292
Pb 0.324 0.355 0.355
Pb 0.676 0.355 0.355
O 0.000 0.576 0.576
O 0.245 0.077 0.077
O 0.500 0.600 0.600
O 0.755 0.077 0.077

energy relative to the elements, uncorrected: -2187 meV/atom
V: 23.5 Å³/atom
space group: Amm2, No. 38
calculated total energy: -6.729 eV/atom

MgBeZn2: relaxed, PBE.

a b c (Å): 6.134 6.134 6.134
angles (deg): 90.00 90.00 90.00
Sites, in units of the cell vectors:
Mg 0.000 0.000 0.000
Mg 0.000 0.500 0.500
Mg 0.500 0.000 0.500
Mg 0.500 0.500 0.000
Be 0.000 0.000 0.500
Be 0.000 0.500 0.000
Be 0.500 0.000 0.000
Be 0.500 0.500 0.500
Zn 0.250 0.250 0.250
Zn 0.250 0.250 0.750
Zn 0.250 0.750 0.250
Zn 0.250 0.750 0.750
Zn 0.750 0.250 0.250
Zn 0.750 0.250 0.750
Zn 0.750 0.750 0.250
Zn 0.750 0.750 0.750

formation energy: 17.0 kJ per mole of atoms
V: 14.4 Å³/atom
space group: Fm-3m, No. 225
calculated total energy: -1.791 eV/atom

PrBi2Pb: relaxed, PBE.

a b c (Å): 3.508 3.508 38.077
angles (deg): 90.00 90.00 120.00
Sites, in units of the cell vectors:
Pr 0.000 0.000 0.000
Pr 0.333 0.667 0.667
Pr 0.667 0.333 0.333
Bi 0.000 0.000 0.087
Bi 0.000 0.000 0.913
Bi 0.333 0.667 0.580
Bi 0.333 0.667 0.753
Bi 0.667 0.333 0.247
Bi 0.667 0.333 0.420
Pb 0.000 0.000 0.500
Pb 0.333 0.667 0.167
Pb 0.667 0.333 0.833

formation energy: 8.3 kJ per mole of atoms
V: 33.8 Å³/atom
space group: R-3m, No. 166
calculated total energy: -3.977 eV/atom

Li4Ca5Mg: relaxed, PBE.

a b c (Å): 3.972 3.972 19.755
angles (deg): 90.00 90.00 90.00
Sites, in units of the cell vectors:
Li 0.000 0.000 0.100
Li 0.000 0.000 0.299
Li 0.000 0.000 0.701
Li 0.000 0.000 0.900
Ca 0.500 0.500 0.000
Ca 0.500 0.500 0.199
Ca 0.500 0.500 0.399
Ca 0.500 0.500 0.601
Ca 0.500 0.500 0.801
Mg 0.000 0.000 0.500

formation energy: -0.4 kJ per mole of atoms
V: 31.2 Å³/atom
space group: P4/mmm, No. 123
calculated total energy: -1.930 eV/atom

LaZn2Ag4: relaxed, PBE.

a b c (Å): 8.929 7.077 5.412
angles (deg): 90.00 126.51 90.00
Sites, in units of the cell vectors:
La 0.000 0.000 0.000
La 0.500 0.500 0.000
Zn 0.000 0.500 0.248
Zn 0.000 0.500 0.752
Zn 0.500 0.000 0.248
Zn 0.500 0.000 0.752
Ag 0.195 0.197 0.695
Ag 0.195 0.803 0.695
Ag 0.305 0.303 0.305
Ag 0.305 0.697 0.305
Ag 0.695 0.303 0.695
Ag 0.695 0.697 0.695
Ag 0.805 0.197 0.305
Ag 0.805 0.803 0.305

formation energy: -19.3 kJ per mole of atoms
V: 19.6 Å³/atom
space group: C2/m, No. 12
calculated total energy: -2.897 eV/atom

Li2La2CeSi2: relaxed, PBE.

a b c (Å): 9.424 9.424 9.424
angles (deg): 28.04 28.04 28.04
Sites, in units of the cell vectors:
Li 0.110 0.110 0.110
Li 0.890 0.890 0.890
La 0.374 0.374 0.374
La 0.626 0.626 0.626
Ce 0.500 0.500 0.500
Si 0.230 0.230 0.230
Si 0.770 0.770 0.770

energy relative to the elements, uncorrected: -361 meV/atom
V: 23.3 Å³/atom
space group: R-3m, No. 166
calculated total energy: -4.713 eV/atom

BeTcAsRu: relaxed, PBE.

a b c (Å): 5.881 5.881 5.881
angles (deg): 90.00 90.00 90.00
Sites, in units of the cell vectors:
Be 0.000 0.000 0.000
Be 0.000 0.500 0.500
Be 0.500 0.000 0.500
Be 0.500 0.500 0.000
Tc 0.250 0.250 0.250
Tc 0.250 0.750 0.750
Tc 0.750 0.250 0.750
Tc 0.750 0.750 0.250
As 0.000 0.000 0.500
As 0.000 0.500 0.000
As 0.500 0.000 0.000
As 0.500 0.500 0.500
Ru 0.250 0.250 0.750
Ru 0.250 0.750 0.250
Ru 0.750 0.250 0.250
Ru 0.750 0.750 0.750

formation energy: -11.2 kJ per mole of atoms
V: 12.7 Å³/atom
space group: F-43m, No. 216
calculated total energy: -7.121 eV/atom

TlW5: relaxed, PBE.

a b c (Å): 4.554 13.715 3.266
angles (deg): 90.00 90.00 90.00
Sites, in units of the cell vectors:
Tl 0.000 0.000 0.000
Tl 0.500 0.500 0.000
W 0.000 0.175 0.500
W 0.000 0.334 0.000
W 0.000 0.500 0.500
W 0.000 0.666 0.000
W 0.000 0.825 0.500
W 0.500 0.000 0.500
W 0.500 0.166 0.000
W 0.500 0.325 0.500
W 0.500 0.675 0.500
W 0.500 0.834 0.000

formation energy: 53.1 kJ per mole of atoms
V: 17.0 Å³/atom
space group: Cmmm, No. 65
calculated total energy: -10.638 eV/atom

NaMgCdIr: relaxed, PBE.

a b c (Å): 6.651 6.651 6.651
angles (deg): 90.00 90.00 90.00
Sites, in units of the cell vectors:
Na 0.000 0.000 0.000
Na 0.000 0.500 0.500
Na 0.500 0.000 0.500
Na 0.500 0.500 0.000
Mg 0.250 0.250 0.750
Mg 0.250 0.750 0.250
Mg 0.750 0.250 0.250
Mg 0.750 0.750 0.750
Cd 0.250 0.250 0.250
Cd 0.250 0.750 0.750
Cd 0.750 0.250 0.750
Cd 0.750 0.750 0.250
Ir 0.000 0.000 0.500
Ir 0.000 0.500 0.000
Ir 0.500 0.000 0.000
Ir 0.500 0.500 0.500

formation energy: -2.4 kJ per mole of atoms
V: 18.4 Å³/atom
space group: F-43m, No. 216
calculated total energy: -3.197 eV/atom

La2FePPd: relaxed, PBE.

a b c (Å): 5.249 5.249 4.497
angles (deg): 90.00 90.00 90.00
Sites, in units of the cell vectors:
La 0.000 0.500 0.000
La 0.500 0.000 0.000
Fe 0.000 0.000 0.000
P 0.500 0.500 0.500
Pd 0.000 0.000 0.500

formation energy: -14.1 kJ per mole of atoms
V: 24.8 Å³/atom
space group: P4/mmm, No. 123
calculated total energy: -5.930 eV/atom

Rb3Tb2YTe6: relaxed, PBE.

a b c (Å): 7.857 7.857 8.947
angles (deg): 98.42 98.42 120.00
Sites, in units of the cell vectors:
Rb 0.000 0.000 0.000
Rb 0.333 0.667 0.000
Rb 0.667 0.333 0.000
Tb 0.167 0.833 0.500
Tb 0.833 0.167 0.500
Y 0.500 0.500 0.500
Te 0.101 0.433 0.300
Te 0.234 0.234 0.700
Te 0.433 0.101 0.300
Te 0.567 0.899 0.700
Te 0.766 0.766 0.300
Te 0.899 0.567 0.700

energy relative to the elements, uncorrected: -1394 meV/atom
V: 38.1 Å³/atom
space group: C2/m, No. 12
calculated total energy: -4.517 eV/atom

SiIr3Ru: relaxed, PBE.

a b c (Å): 4.690 4.690 4.690
angles (deg): 90.00 90.00 90.00
Sites, in units of the cell vectors:
Si 0.000 0.000 0.000
Ir 0.000 0.500 0.500
Ir 0.500 0.000 0.500
Ir 0.500 0.500 0.000
Ru 0.500 0.500 0.500

energy relative to the elements, uncorrected: 1913 meV/atom
V: 20.6 Å³/atom
space group: Pm-3m, No. 221
calculated total energy: -6.344 eV/atom

Sc2Pd7Au2: relaxed, PBE.

a b c (Å): 6.448 6.448 5.040
angles (deg): 106.95 106.95 91.28
Sites, in units of the cell vectors:
Sc 0.222 0.778 0.000
Sc 0.778 0.222 0.000
Pd 0.000 0.000 0.500
Pd 0.073 0.585 0.325
Pd 0.402 0.402 0.666
Pd 0.415 0.927 0.675
Pd 0.585 0.073 0.325
Pd 0.598 0.598 0.334
Pd 0.927 0.415 0.675
Au 0.248 0.248 0.044
Au 0.752 0.752 0.956

formation energy: -44.6 kJ per mole of atoms
V: 17.3 Å³/atom
space group: C2/m, No. 12
calculated total energy: -5.513 eV/atom

Pa4OsPtS2: relaxed, PBE.

a b c (Å): 6.695 3.865 7.288
angles (deg): 90.00 107.73 90.00
Sites, in units of the cell vectors:
Pa 0.240 0.000 0.248
Pa 0.241 0.500 0.747
Pa 0.759 0.500 0.253
Pa 0.760 0.000 0.752
Os 0.000 0.000 0.500
Pt 0.500 0.500 0.500
S 0.000 0.500 0.000
S 0.500 0.000 0.000

energy relative to the elements, uncorrected: -1028 meV/atom
V: 22.5 Å³/atom
space group: P2/m, No. 10
calculated total energy: -8.967 eV/atom

HgNCl2: relaxed, PBE.

a b c (Å): 6.841 6.841 6.841
angles (deg): 90.00 90.00 90.00
Sites, in units of the cell vectors:
Hg 0.000 0.000 0.000
Hg 0.000 0.500 0.500
Hg 0.500 0.000 0.500
Hg 0.500 0.500 0.000
N 0.000 0.000 0.500
N 0.000 0.500 0.000
N 0.500 0.000 0.000
N 0.500 0.500 0.500
Cl 0.250 0.250 0.250
Cl 0.250 0.250 0.750
Cl 0.250 0.750 0.250
Cl 0.250 0.750 0.750
Cl 0.750 0.250 0.250
Cl 0.750 0.250 0.750
Cl 0.750 0.750 0.250
Cl 0.750 0.750 0.750

energy relative to the elements, uncorrected: 1112 meV/atom
V: 20.0 Å³/atom
space group: Fm-3m, No. 225
calculated total energy: -1.968 eV/atom

SrBe3Pd: relaxed, PBE.

a b c (Å): 5.134 5.134 5.134
angles (deg): 90.00 90.00 90.00
Sites, in units of the cell vectors:
Sr 0.000 0.000 0.000
Be 0.000 0.000 0.500
Be 0.000 0.500 0.000
Be 0.500 0.000 0.000
Pd 0.500 0.500 0.500

formation energy: 223.4 kJ per mole of atoms
V: 27.1 Å³/atom
space group: Pm-3m, No. 221
calculated total energy: -1.296 eV/atom

CuAs2P: relaxed, PBE.

a b c (Å): 6.278 3.598 6.352
angles (deg): 90.00 109.31 90.00
Sites, in units of the cell vectors:
Cu 0.000 0.000 0.000
Cu 0.500 0.500 0.000
As 0.010 0.500 0.532
As 0.248 0.500 0.246
As 0.510 0.000 0.532
As 0.748 0.000 0.246
P 0.263 0.000 0.785
P 0.763 0.500 0.785

formation energy: 15.4 kJ per mole of atoms
V: 16.9 Å³/atom
space group: Cm, No. 8
calculated total energy: -4.541 eV/atom

NaTmIrO6: relaxed, PBE.

a b c (Å): 5.525 5.525 9.688
angles (deg): 90.00 90.00 120.00
Sites, in units of the cell vectors:
Na 0.000 0.000 0.000
Na 0.000 0.000 0.500
Tm 0.333 0.667 0.250
Tm 0.667 0.333 0.750
Ir 0.333 0.667 0.750
Ir 0.667 0.333 0.250
O 0.043 0.390 0.639
O 0.043 0.652 0.861
O 0.348 0.390 0.861
O 0.348 0.957 0.639
O 0.390 0.043 0.139
O 0.390 0.348 0.361
O 0.610 0.652 0.639
O 0.610 0.957 0.861
O 0.652 0.043 0.361
O 0.652 0.610 0.139
O 0.957 0.348 0.139
O 0.957 0.610 0.361

energy relative to the elements, uncorrected: -1456 meV/atom
V: 14.2 Å³/atom
space group: P-31c, No. 163
calculated total energy: -6.389 eV/atom

NaCr2SiP: relaxed, PBE.

a b c (Å): 4.875 4.875 4.659
angles (deg): 90.00 90.00 90.00
Sites, in units of the cell vectors:
Na 0.000 0.000 0.000
Cr 0.000 0.500 0.000
Cr 0.500 0.000 0.000
Si 0.500 0.500 0.500
P 0.000 0.000 0.500

energy relative to the elements, uncorrected: 1697 meV/atom
V: 22.1 Å³/atom
space group: P4/mmm, No. 123
calculated total energy: -4.583 eV/atom

LiNbBr6: relaxed, PBE.

a b c (Å): 7.190 7.190 7.190
angles (deg): 56.26 56.26 56.26
Sites, in units of the cell vectors:
Li 0.000 0.000 0.000
Nb 0.500 0.500 0.500
Br 0.114 0.731 0.412
Br 0.269 0.588 0.886
Br 0.412 0.114 0.731
Br 0.588 0.886 0.269
Br 0.731 0.412 0.114
Br 0.886 0.269 0.588

energy relative to the elements, uncorrected: -963 meV/atom
V: 30.0 Å³/atom
space group: R-3, No. 148
calculated total energy: -3.716 eV/atom